(1)
Here is HoFeTc after structural relaxation from Alexandria via LeMat-Bulk. Energies are from GGA-PBE.

offset from the most stable computed form = 540 meV per atom
total moment = 0.035 μB per atom
SG = P4_12_12
energy of formation from the pure elements = 410 meV/atom
ρ = 8.74 g cm⁻³
Fermi-level density of states = 12.188 states/eV/cell

Cell: 6.487 6.487 5.756 Å, 90.00 90.00 90.00°
Positions (direct):
Ho  0.243  0.243  0.000
Ho  0.257  0.743  0.250
Ho  0.743  0.257  0.750
Ho  0.757  0.757  0.500
Fe  0.062  0.062  0.500
Fe  0.438  0.562  0.750
Fe  0.562  0.438  0.250
Fe  0.938  0.938  0.000
Tc  0.185  0.815  0.750
Tc  0.315  0.315  0.500
Tc  0.685  0.685  0.000
Tc  0.815  0.185  0.250

---

(2)
Here is Ho2FeTc3 after structural relaxation from Alexandria via LeMat-Bulk. Energies are from GGA-PBE.

total moment = 0.431 μB per atom
SG = R-3m
energy of formation from the pure elements = -169 meV/atom
ρ = 10.47 g cm⁻³
Fermi-level density of states = 5.811 states/eV/cell

Cell: 5.415 5.415 5.415 Å, 58.26 58.26 58.26°
Positions (direct):
Ho  0.124  0.124  0.124
Ho  0.876  0.876  0.876
Fe  0.500  0.500  0.500
Tc  0.000  0.500  0.500
Tc  0.500  0.000  0.500
Tc  0.500  0.500  0.000

---

(3)
Here is Ho6Fe2Te after structural relaxation from Alexandria via LeMat-Bulk. Energies are from GGA-PBE.

E_form (uncorrected) = -272 meV/atom
total moment = 0.011 μB per atom
SG = Immm
ρ = 9.02 g cm⁻³
Fermi-level density of states = 13.547 states/eV/cell

Cell: 8.382 8.382 8.382 Å, 111.39 110.73 106.34°
Positions (direct):
Ho  0.006  0.814  0.192
Ho  0.233  0.517  0.285
Ho  0.233  0.948  0.715
Ho  0.285  0.315  0.600
Ho  0.285  0.685  0.970
Ho  0.378  0.186  0.192
Ho  0.622  0.814  0.808
Ho  0.715  0.315  0.030
Ho  0.715  0.685  0.400
Ho  0.767  0.052  0.285
Ho  0.767  0.483  0.715
Ho  0.994  0.186  0.808
Fe  0.000  0.116  0.116
Fe  0.000  0.884  0.884
Fe  0.393  0.393  0.000
Fe  0.607  0.607  0.000
Te  0.000  0.500  0.500
Te  0.500  0.000  0.500

---

(4)
Here is Ho3FeTe after structural relaxation from Alexandria via LeMat-Bulk. Energies are from GGA-PBE.

E_form (uncorrected) = -559 meV/atom
total moment = 0.199 μB per atom
SG = P2_1/m
ρ = 8.75 g cm⁻³
Fermi-level density of states = 9.631 states/eV/cell

Cell: 8.222 3.934 8.372 Å, 90.00 108.15 90.00°
Positions (direct):
Ho  0.066  0.250  0.241
Ho  0.307  0.250  0.923
Ho  0.317  0.750  0.591
Ho  0.683  0.250  0.409
Ho  0.693  0.750  0.077
Ho  0.934  0.750  0.759
Fe  0.053  0.250  0.568
Fe  0.947  0.750  0.432
Te  0.378  0.750  0.234
Te  0.622  0.250  0.766

---

(5)
Here is Ho3ThFe8 after structural relaxation from Alexandria via LeMat-Bulk. Energies are from GGA-PBE.

total moment = 1.189 μB per atom
SG = R3m
energy of formation from the pure elements = -100 meV/atom
ρ = 10.07 g cm⁻³
Fermi-level density of states = 12.280 states/eV/cell

Cell: 8.915 8.915 8.915 Å, 33.63 33.63 33.63°
Positions (direct):
Ho  0.000  0.000  0.000
Ho  0.124  0.124  0.124
Ho  0.627  0.627  0.627
Th  0.500  0.500  0.500
Fe  0.061  0.562  0.562
Fe  0.063  0.063  0.564
Fe  0.063  0.564  0.063
Fe  0.313  0.313  0.313
Fe  0.562  0.061  0.562
Fe  0.562  0.562  0.061
Fe  0.564  0.063  0.063
Fe  0.812  0.812  0.812

---

(6)
Here is HoThFe after structural relaxation from Alexandria via LeMat-Bulk. Energies are from GGA-PBE.

offset from the most stable computed form = 0 meV per atom
total moment = 0.067 μB per atom
SG = Cmcm
energy of formation from the pure elements = -25 meV/atom
ρ = 10.31 g cm⁻³
Fermi-level density of states = 5.965 states/eV/cell

Cell: 10.332 10.332 3.832 Å, 90.00 90.00 159.11°
Positions (direct):
Ho  0.195  0.805  0.750
Ho  0.805  0.195  0.250
Th  0.427  0.573  0.750
Th  0.573  0.427  0.250
Fe  0.049  0.951  0.750
Fe  0.951  0.049  0.250

---

(7)
Here is HoThFe2 after structural relaxation from Alexandria via LeMat-Bulk. Energies are from GGA-PBE.

total moment = 0.451 μB per atom
SG = Amm2
energy of formation from the pure elements = -30 meV/atom
ρ = 10.16 g cm⁻³
Fermi-level density of states = 4.334 states/eV/cell

Cell: 3.853 5.705 5.705 Å, 41.51 90.00 90.00°
Positions (direct):
Ho  0.000  0.000  0.000
Th  0.500  0.287  0.287
Fe  0.000  0.702  0.702
Fe  0.500  0.583  0.583

---

(8)
Here is HoThFe after structural relaxation from Alexandria via LeMat-Bulk. Energies are from GGA-PBE.

offset from the most stable computed form = 172 meV per atom
total moment = 0.000 μB per atom
SG = Fdd2
energy of formation from the pure elements = 147 meV/atom
ρ = 10.02 g cm⁻³
Fermi-level density of states = 14.238 states/eV/cell

Cell: 8.638 6.471 9.607 Å, 61.38 41.12 77.50°
Positions (direct):
Ho  0.084  0.916  0.312
Ho  0.562  0.938  0.334
Ho  0.916  0.084  0.688
Ho  0.938  0.562  0.166
Th  0.044  0.455  0.775
Th  0.455  0.044  0.726
Th  0.475  0.524  0.206
Th  0.524  0.475  0.795
Fe  0.019  0.172  0.060
Fe  0.172  0.019  0.749
Fe  0.190  0.501  0.231
Fe  0.501  0.190  0.078